[1]
A plane-wave DFT calculation with SCAN was carried out for a PBEsol-optimized structure of Mg2BeCr.

Cell: 7.2498 7.2498 5.2635 Å, 90.00 90.00 90.00°
Closest atoms and distances in Å follow each position.
Space group I-42d (No. 122)
Unique sites:
Mg 0.2101 0.2500 0.1250  2 Be 2.46, 2 Mg 2.69
Be 0.0000 0.0000 0.0000  4 Mg 2.46, 2 Cr 2.63
Cr 0.0000 0.0000 0.5000  2 Be 2.63, 4 Mg 2.85

Values from the calculation:
ΔE_f in eV/f.u.: 2.3
Calculated volume in Å³/f.u.: 69.2

[2]
A plane-wave DFT calculation with SCAN was carried out for a PBEsol-optimized structure of Ba3CaBi2O9.

Cell: 6.0811 8.5759 18.2775 Å, 90.00 90.00 90.00°
Closest atoms and distances in Å follow each position.
Space group Immm (No. 71)
Unique sites:
Ba 0.0000 0.2410 0.0000  12 O 2.92-3.09
Ba 0.0000 0.2527 0.3311  12 O 3.01-3.14
Ca 0.0000 0.0000 0.1667  6 O 2.23-2.24
Bi 0.0000 0.0000 0.5000  6 O 2.10-2.11
Bi 0.0000 0.5000 0.1671  6 O 2.06-2.20
Bi 0.0000 0.5000 0.5000  6 O 2.06-2.18
O 0.0000 0.2453 0.5000  2 Bi 2.10-2.18
O 0.0000 0.2608 0.1594  1 Bi 2.06, 1 Ca 2.24
O 0.2401 0.5000 0.4202  1 Bi 2.06, 1 Ca 2.24
O 0.2463 0.0000 0.4188  2 Bi 2.11-2.20
O 0.2462 0.5000 0.2454  1 Bi 2.07, 1 Ca 2.23

Values from the calculation:
Formation energy from raw total energies in meV/atom: -2163
Calculated volume in Å³/f.u.: 238.3

[3]
A plane-wave DFT calculation with SCAN was carried out for a PBEsol-optimized structure of Zr2CrRu.

Cell: 8.2463 3.0268 5.4910 Å, 90.00 98.36 90.00°
Closest atoms and distances in Å follow each position.
Space group C2/m (No. 12)
Unique sites:
Zr 0.2495 0.0000 0.2471  3 Cr 2.63-2.75, 3 Ru 2.64-2.77
Cr 0.0000 0.5000 0.0000  6 Zr 2.63-2.75
Ru 0.0000 0.0000 0.5000  6 Zr 2.64-2.77

Values from the calculation:
ΔE_f in eV/f.u.: 0.5
Calculated volume in Å³/f.u.: 67.8

[4]
A plane-wave DFT calculation with SCAN was carried out for a PBEsol-optimized structure of Zr3In.

Cell: 4.4023 4.4023 4.4023 Å, 90.00 90.00 90.00°
Closest atoms and distances in Å follow each position.
Space group Pm-3m (No. 221)
Unique sites:
Zr 0.0000 0.0000 0.5000  8 Zr 3.11, 4 In 3.11
In 0.5000 0.5000 0.5000  12 Zr 3.11

Values from the calculation:
ΔE_f in eV/f.u.: -1.4
Calculated volume in Å³/f.u.: 85.3